{"formula": "Rb2YTeF6", "functional": "PBE", "state": "optimized geometry", "m_tot_mub_per_cell": 1.000, "e_form_raw_mev_per_atom": -2739, "cell": [[-3.7351, 3.7351, 4.3949], [3.7351, -3.7351, 4.3949], [3.7351, 3.7351, -4.3949]], "species": ["Rb", "Rb", "Y", "Te", "F", "F", "F", "F", "F", "F"], "fractional_positions": [[0.2500, 0.7500, 0.5000], [0.7500, 0.2500, 0.5000], [0.0000, 0.0000, 0.0000], [0.5000, 0.5000, 0.0000], [0.2043, 0.2043, 0.4085], [0.2043, 0.7957, 0.0000], [0.2537, 0.2537, 0.0000], [0.7463, 0.7463, 0.0000], [0.7957, 0.2043, 0.0000], [0.7957, 0.7957, 0.5915]]}